A relaxed BaTe2Se crystal. Source: Alexandria via LeMat-Bulk, functional PBE.

Values from the calculation:
space group	Amm2 (38)
total energy	-3.714	eV per atom

Lattice parameters (Å, degrees): 5.177 6.293 6.293 42.42 90.00 90.00
Fractional coordinates of all 4 atoms:
Ba: 0.000 0.000 0.000
Te: 0.500 0.217 0.217
Te: 0.500 0.452 0.452
Se: 0.000 0.710 0.710